{
  "formula": "HgP2O2",
  "functional": "PBE",
  "state": "optimized geometry",
  "cell": [[4.056, 0.000, 0.000], [0.000, 4.056, 0.000], [0.000, 0.000, 5.219]],
  "species": ["P", "P", "Hg", "O", "O"],
  "frac_coords": [[0.500, 0.500, 0.500], [0.000, 0.000, 0.500], [0.000, 0.000, 0.000], [0.000, 0.500, 0.000], [0.500, 0.000, 0.000]],
  "de_polymorph_mev_per_atom": 1404,
  "spacegroup": "P4/mmm, No. 123",
  "final_energy_ev_per_atom": -3.168,
  "dos_at_fermi_per_ev_fu": 4.19
}